(1)
Below is a relaxed MnFeSb crystal, with properties calculated at the PBE level.

a = 3.1486 Å, b = 3.1486 Å, c = 6.0542 Å
α = 90.00°, β = 90.00°, γ = 120.00°
Fractional coordinates of all 3 atoms:
Mn  0.0000  0.0000  0.0000
Fe  0.3333  0.6667  0.6993
Sb  0.6667  0.3333  0.3776

- space-group type = P3m1, No. 156
- final energy (eV/cell) = -20.49
- total magnetization (μB/atom) = 2.0083
- ΔE_f (raw) (meV per atom) = 422


(2)
Below is a relaxed DyNi4 crystal, with properties calculated at the PBE level.

a = 4.5806 Å, b = 4.5806 Å, c = 4.5806 Å
α = 90.00°, β = 90.00°, γ = 90.00°
Fractional coordinates of all 5 atoms:
Dy  0.0000  0.0000  0.0000
Ni  0.0000  0.0000  0.5000
Ni  0.0000  0.5000  0.0000
Ni  0.5000  0.0000  0.0000
Ni  0.5000  0.5000  0.5000

- energy relative to the elements (eV per atom) = 1.527
- space-group type = Pm-3m, No. 221
- final energy (eV/cell) = -20.09
- total magnetization (μB/atom) = 0.0678


(3)
Below is a relaxed LiYThTl crystal, with properties calculated at the PBE level.

a = 5.3618 Å, b = 5.3618 Å, c = 5.3618 Å
α = 60.00°, β = 60.00°, γ = 60.00°
Fractional coordinates of all 4 atoms:
Li  0.0000  0.0000  0.0000
Y  0.7500  0.7500  0.7500
Th  0.2500  0.2500  0.2500
Tl  0.5000  0.5000  0.5000

- energy relative to the elements (eV per atom) = -0.051
- space-group type = F-43m, No. 216
- final energy (eV/cell) = -18.37
- total magnetization (μB/atom) = 0.0000


(4)
Below is a relaxed TcCl2 crystal, with properties calculated at the PBE level.

a = 4.4472 Å, b = 4.4472 Å, c = 8.3754 Å
α = 90.00°, β = 90.00°, γ = 120.00°
Fractional coordinates of all 6 atoms:
Tc  0.3333  0.6667  0.2500
Tc  0.6667  0.3333  0.7500
Cl  0.0000  0.0000  0.0000
Cl  0.0000  0.0000  0.5000
Cl  0.3333  0.6667  0.7500
Cl  0.6667  0.3333  0.2500

- excess energy over the best structure of this formula in the dataset (eV per formula unit) = 2.67
- space-group type = P6_3/mmc, No. 194
- final energy (eV/cell) = -26.12
- total magnetization (μB/atom) = 1.6673
- ΔE_f (raw) (meV per atom) = 333


(5)
Below is a relaxed Pr4Dy5Sc2 crystal, with properties calculated at the PBE level.

a = 12.2451 Å, b = 12.2451 Å, c = 12.2451 Å
α = 163.70°, β = 134.86°, γ = 48.31°
Fractional coordinates of all 11 atoms:
Pr  0.0987  0.0987  0.0000
Pr  0.2077  0.5000  0.7077
Pr  0.7923  0.5000  0.2923
Pr  0.9013  0.9013  0.0000
Dy  0.1363  0.3434  0.7929
Dy  0.4496  0.6566  0.7929
Dy  0.5000  0.0000  0.5000
Dy  0.5504  0.3434  0.2071
Dy  0.8637  0.6566  0.2071
Sc  0.2298  0.2298  0.0000
Sc  0.7702  0.7702  0.0000

- energy relative to the elements (eV per atom) = 0.315
- excess energy over the best structure of this formula in the dataset (eV per formula unit) = 2.99
- space-group type = Immm, No. 71
- final energy (eV/cell) = -51.32
- total magnetization (μB/atom) = 0.0000


(6)
Below is a relaxed RbAuSe crystal, with properties calculated at the PBE level.

a = 4.5410 Å, b = 4.5410 Å, c = 5.1696 Å
α = 90.00°, β = 90.00°, γ = 120.00°
Fractional coordinates of all 3 atoms:
Rb  0.0000  0.0000  0.0000
Au  0.6667  0.3333  0.5000
Se  0.3333  0.6667  0.5000

- space-group type = P-6m2, No. 187
- final energy (eV/cell) = -9.76
- total magnetization (μB/atom) = 0.0000
- ΔE_f (raw) (meV per atom) = -676


(7)
Below is a relaxed Al2Ga2Cu7 crystal, with properties calculated at the PBE level.

a = 6.9491 Å, b = 6.9491 Å, c = 6.9491 Å
α = 146.16°, β = 64.48°, γ = 126.89°
Fractional coordinates of all 11 atoms:
Al  0.0000  0.0000  0.0000
Al  0.6935  0.1935  0.5000
Ga  0.0174  0.2154  0.8019
Ga  0.4135  0.2154  0.1981
Cu  0.1357  0.4946  0.6411
Cu  0.2715  0.9174  0.3541
Cu  0.4189  0.4189  0.0000
Cu  0.5444  0.7051  0.8393
Cu  0.5634  0.9174  0.6459
Cu  0.8534  0.4946  0.3589
Cu  0.8658  0.7051  0.1607

- energy relative to the elements (eV per atom) = -0.099
- excess energy over the best structure of this formula in the dataset (eV per formula unit) = 0.00
- space-group type = Imm2, No. 44
- final energy (eV/cell) = -43.30
- total magnetization (μB/atom) = 0.0000


(8)
Below is a relaxed Sr2AcInO crystal, with properties calculated at the PBE level.

a = 5.2311 Å, b = 5.2311 Å, c = 5.3197 Å
α = 90.00°, β = 90.00°, γ = 90.00°
Fractional coordinates of all 5 atoms:
Sr  0.0000  0.5000  0.0000
Sr  0.5000  0.0000  0.0000
Ac  0.0000  0.0000  0.5000
In  0.5000  0.5000  0.5000
O  0.0000  0.0000  0.0000

- space-group type = P4/mmm, No. 123
- final energy (eV/cell) = -21.63
- total magnetization (μB/atom) = 0.0000
- ΔE_f (raw) (meV per atom) = -1293


(9)
Below is a relaxed MgCd2HS crystal, with properties calculated at the PBE level.

a = 5.5223 Å, b = 5.5223 Å, c = 4.6123 Å
α = 90.00°, β = 90.00°, γ = 90.00°
Fractional coordinates of all 5 atoms:
Mg  0.0000  0.0000  0.0000
Cd  0.0000  0.5000  0.5000
Cd  0.5000  0.0000  0.5000
H  0.5000  0.5000  0.0000
S  0.0000  0.0000  0.5000

- space-group type = P4/mmm, No. 123
- final energy (eV/cell) = -8.39
- total magnetization (μB/atom) = 0.0000


(10)
Below is a relaxed LiSm2P3Pt12 crystal, with properties calculated at the PBE level.

a = 7.5008 Å, b = 7.5008 Å, c = 7.5008 Å
α = 67.01°, β = 67.01°, γ = 67.01°
Fractional coordinates of all 18 atoms:
Li  0.0000  0.0000  0.0000
Sm  0.3862  0.3862  0.3862
Sm  0.6138  0.6138  0.6138
P  0.0000  0.0000  0.5000
P  0.0000  0.5000  0.0000
P  0.5000  0.0000  0.0000
Pt  0.1043  0.6561  0.6561
Pt  0.1273  0.1273  0.6354
Pt  0.1273  0.6354  0.1273
Pt  0.3439  0.3439  0.8957
Pt  0.3439  0.8957  0.3439
Pt  0.3646  0.8727  0.8727
Pt  0.6354  0.1273  0.1273
Pt  0.6561  0.1043  0.6561
Pt  0.6561  0.6561  0.1043
Pt  0.8727  0.3646  0.8727
Pt  0.8727  0.8727  0.3646
Pt  0.8957  0.3439  0.3439

- energy relative to the elements (eV per atom) = -0.483
- space-group type = R-3m, No. 166
- final energy (eV/cell) = -108.77
- total magnetization (μB/atom) = 0.0000


(11)
Below is a relaxed YAgHg2 crystal, with properties calculated at the PBE level.

a = 5.0157 Å, b = 5.0157 Å, c = 5.0157 Å
α = 60.00°, β = 60.00°, γ = 60.00°
Fractional coordinates of all 4 atoms:
Y  0.0000  0.0000  0.0000
Ag  0.2500  0.2500  0.2500
Hg  0.5000  0.5000  0.5000
Hg  0.7500  0.7500  0.7500

- energy relative to the elements (eV per atom) = -0.300
- space-group type = F-43m, No. 216
- final energy (eV/cell) = -11.12
- total magnetization (μB/atom) = 0.0000


(12)
Below is a relaxed Rb2Cd2H7 crystal, with properties calculated at the PBE level.

a = 6.8059 Å, b = 6.8059 Å, c = 5.7050 Å
α = 99.29°, β = 99.29°, γ = 125.79°
Fractional coordinates of all 11 atoms:
Rb  0.1615  0.8385  0.0000
Rb  0.8385  0.1615  0.0000
Cd  0.3372  0.3372  0.6453
Cd  0.6628  0.6628  0.3547
H  0.0000  0.0000  0.5000
H  0.1853  0.4622  0.7503
H  0.3240  0.3240  0.2933
H  0.4622  0.1853  0.7503
H  0.5378  0.8147  0.2497
H  0.6760  0.6760  0.7067
H  0.8147  0.5378  0.2497

- space-group type = C2/m, No. 12
- final energy (eV/cell) = -26.00
- total magnetization (μB/atom) = 0.0000


(13)
Below is a relaxed Cs3Br2F crystal, with properties calculated at the PBE level.

a = 8.3083 Å, b = 8.3083 Å, c = 8.1316 Å
α = 90.00°, β = 90.00°, γ = 70.44°
Fractional coordinates of all 12 atoms:
Cs  0.1192  0.8808  0.7500
Cs  0.3498  0.3498  0.0000
Cs  0.3498  0.3498  0.5000
Cs  0.6502  0.6502  0.0000
Cs  0.6502  0.6502  0.5000
Cs  0.8808  0.1192  0.2500
Br  0.0132  0.6618  0.2500
Br  0.3382  0.9868  0.2500
Br  0.6618  0.0132  0.7500
Br  0.9868  0.3382  0.7500
F  0.4123  0.5877  0.7500
F  0.5877  0.4123  0.2500

- excess energy over the best structure of this formula in the dataset (eV per formula unit) = 0.16
- space-group type = Cmcm, No. 63
- final energy (eV/cell) = -39.77
- total magnetization (μB/atom) = 0.0269
- ΔE_f (raw) (meV per atom) = -2018


(14)
Below is a relaxed Y2PBr crystal, with properties calculated at the PBE level.

a = 3.8846 Å, b = 3.8846 Å, c = 7.3111 Å
α = 90.00°, β = 90.00°, γ = 90.00°
Fractional coordinates of all 4 atoms:
Y  0.0000  0.0000  0.0000
Y  0.5000  0.5000  0.3687
P  0.5000  0.5000  0.9935
Br  0.0000  0.0000  0.5762

- space-group type = P4mm, No. 99
- final energy (eV/cell) = -24.53
- total magnetization (μB/atom) = 0.4769
- ΔE_f (raw) (meV per atom) = -1129


(15)
Below is a relaxed Dy2MgCd2 crystal, with properties calculated at the PBE level.

a = 5.9097 Å, b = 5.9097 Å, c = 5.9097 Å
α = 132.92°, β = 115.11°, γ = 83.95°
Fractional coordinates of all 5 atoms:
Dy  0.1988  0.1988  0.0000
Dy  0.8012  0.8012  0.0000
Mg  0.5000  0.0000  0.5000
Cd  0.2271  0.5000  0.7271
Cd  0.7729  0.5000  0.2729

- energy relative to the elements (eV per atom) = -0.176
- excess energy over the best structure of this formula in the dataset (eV per formula unit) = 0.02
- space-group type = Immm, No. 71
- final energy (eV/cell) = -13.51
- total magnetization (μB/atom) = 0.0000


(16)
Below is a relaxed FeSiOs2 crystal, with properties calculated at the PBE level.

a = 3.9119 Å, b = 4.9929 Å, c = 4.9929 Å
α = 31.52°, β = 90.00°, γ = 90.00°
Fractional coordinates of all 4 atoms:
Fe  0.0000  0.0000  0.0000
Si  0.5000  0.8753  0.8753
Os  0.0000  0.2630  0.2630
Os  0.5000  0.6148  0.6148

- space-group type = Amm2, No. 38
- final energy (eV/cell) = -36.51
- total magnetization (μB/atom) = 0.0001
- ΔE_f (raw) (meV per atom) = -42


(17)
Below is a relaxed PuPa2N6 crystal, with properties calculated at the PBE level.

a = 5.8239 Å, b = 5.8239 Å, c = 3.7835 Å
α = 90.00°, β = 90.00°, γ = 120.00°
Fractional coordinates of all 9 atoms:
Pu  0.0000  0.0000  0.0000
Pa  0.3333  0.6667  0.2547
Pa  0.6667  0.3333  0.7453
N  0.0724  0.7137  0.7657
N  0.2863  0.3587  0.7657
N  0.3587  0.0724  0.2343
N  0.6413  0.9276  0.7657
N  0.7137  0.6413  0.2343
N  0.9276  0.2863  0.2343

- excess energy over the best structure of this formula in the dataset (eV per formula unit) = 0.79
- space-group type = P-3, No. 147
- final energy (eV/cell) = -91.59
- total magnetization (μB/atom) = 0.0131
- ΔE_f (raw) (meV per atom) = -924


(18)
Below is a relaxed LiTa4S8 crystal, with properties calculated at the PBE level.

a = 7.0865 Å, b = 7.0865 Å, c = 7.0865 Å
α = 60.00°, β = 60.00°, γ = 60.00°
Fractional coordinates of all 13 atoms:
Li  0.0000  0.0000  0.0000
Ta  0.1662  0.6113  0.6113
Ta  0.6113  0.1662  0.6113
Ta  0.6113  0.6113  0.1662
Ta  0.6113  0.6113  0.6113
S  0.3691  0.3691  0.3691
S  0.3691  0.3691  0.8928
S  0.3691  0.8928  0.3691
S  0.4021  0.8660  0.8660
S  0.8660  0.4021  0.8660
S  0.8660  0.8660  0.4021
S  0.8660  0.8660  0.8660
S  0.8928  0.3691  0.3691

- excess energy over the best structure of this formula in the dataset (eV per formula unit) = 0.50
- space-group type = F-43m, No. 216
- final energy (eV/cell) = -95.88
- total magnetization (μB/atom) = 0.0000
- ΔE_f (raw) (meV per atom) = -1041


(19)
Below is a relaxed Hg4AuCl2 crystal, with properties calculated at the PBE level.

a = 8.5861 Å, b = 8.5861 Å, c = 8.5861 Å
α = 142.85°, β = 142.85°, γ = 53.55°
Fractional coordinates of all 7 atoms:
Hg  0.0000  0.5000  0.5000
Hg  0.1717  0.1717  0.0000
Hg  0.5000  0.0000  0.5000
Hg  0.8283  0.8283  0.0000
Au  0.0000  0.0000  0.0000
Cl  0.3318  0.3318  0.0000
Cl  0.6682  0.6682  0.0000

- space-group type = I4/mmm, No. 139
- final energy (eV/cell) = -10.15
- total magnetization (μB/atom) = 0.0000
- ΔE_f (raw) (meV per atom) = -281


(20)
Below is a relaxed Cr2Ir crystal, with properties calculated at the PBE level.

a = 4.5663 Å, b = 4.5663 Å, c = 4.2298 Å
α = 90.00°, β = 90.00°, γ = 60.08°
Fractional coordinates of all 6 atoms:
Cr  0.0021  0.6617  0.7500
Cr  0.3383  0.9979  0.7500
Cr  0.6617  0.0021  0.2500
Cr  0.9979  0.3383  0.2500
Ir  0.3232  0.6768  0.2500
Ir  0.6768  0.3232  0.7500

- energy relative to the elements (eV per atom) = -0.021
- space-group type = Cmcm, No. 63
- final energy (eV/cell) = -56.34
- total magnetization (μB/atom) = 0.0000